{
  "formula": "ScBPt2",
  "functional": "GGA-PBE",
  "state": "optimized geometry",
  "final_energy_ev_per_atom": -6.35,
  "spacegroup": "F-43m",
  "lattice_angstrom": [[0.000, 3.104, 3.104], [3.104, 0.000, 3.104], [3.104, 3.104, 0.000]],
  "species": ["Sc", "B", "Pt", "Pt"],
  "frac_coords": [[0.000, 0.000, 0.000], [0.750, 0.750, 0.750], [0.250, 0.250, 0.250], [0.500, 0.500, 0.500]]
}

***

{
  "formula": "Sm3Se2S",
  "functional": "GGA-PBE",
  "state": "optimized geometry",
  "final_energy_ev_per_atom": -6.09,
  "spacegroup": "Immm",
  "lattice_angstrom": [[-2.055, 2.906, 6.209], [2.055, -2.906, 6.209], [2.055, 2.906, -6.209]],
  "species": ["Sm", "Sm", "Sm", "Se", "Se", "S"],
  "frac_coords": [[0.000, 0.000, 0.000], [0.348, 0.348, 0.000], [0.652, 0.652, 0.000], [0.172, 0.672, 0.500], [0.828, 0.328, 0.500], [0.500, 0.000, 0.500]]
}

***

{
  "formula": "CsHoIn",
  "functional": "GGA-PBE",
  "state": "optimized geometry",
  "final_energy_ev_per_atom": -2.20,
  "spacegroup": "F-43m",
  "lattice_angstrom": [[0.000, 4.057, 4.057], [4.057, 0.000, 4.057], [4.057, 4.057, 0.000]],
  "species": ["Cs", "Ho", "In"],
  "frac_coords": [[0.000, 0.000, 0.000], [0.500, 0.500, 0.500], [0.250, 0.250, 0.250]]
}

***

{
  "formula": "ZnMo",
  "functional": "GGA-PBE",
  "state": "optimized geometry",
  "final_energy_ev_per_atom": -5.92,
  "formation_energy_ev_per_atom": 0.14,
  "spacegroup": "Pbcm",
  "e_above_lowest_polymorph_ev_per_fu": 0.15,
  "lattice_angstrom": [[5.809, 0.000, 0.000], [0.000, 4.614, 0.000], [0.000, 0.000, 4.594]],
  "species": ["Zn", "Zn", "Zn", "Zn", "Mo", "Mo", "Mo", "Mo"],
  "frac_coords": [[0.112, 0.032, 0.250], [0.112, 0.468, 0.750], [0.888, 0.532, 0.250], [0.888, 0.968, 0.750], [0.395, 0.515, 0.250], [0.395, 0.985, 0.750], [0.605, 0.015, 0.250], [0.605, 0.485, 0.750]]
}